Below is a relaxed PrUSe4 crystal, with properties calculated at the GGA-PBE level.

Cell: 4.852 4.852 7.014 Å, 90.10 90.10 90.00°
Fractional coordinates of all 6 atoms:
Pr 0.000 0.000 0.000
U 0.500 0.500 0.500
Se 0.000 0.500 0.266
Se 0.000 0.500 0.734
Se 0.500 0.000 0.266
Se 0.500 0.000 0.734

Output
Density of states at the Fermi level ... 6.74 states/eV/f.u.
Total energy ... -37.835 eV for the cell shown
SG ... C2/m
Formation energy from raw total energies ... -7.8 eV per formula unit
Magnetic moment ... 1.12 μB per formula unit
Density ... 6.99 g/cm3

Below is a relaxed Ba4PPb2 crystal, with properties calculated at the GGA-PBE level.

Cell: 9.537 9.537 7.178 Å, 101.43 101.43 29.30°
Fractional coordinates of all 7 atoms:
Ba 0.080 0.080 0.266
Ba 0.355 0.355 0.171
Ba 0.645 0.645 0.829
Ba 0.920 0.920 0.734
P 0.500 0.500 0.000
Pb 0.254 0.254 0.645
Pb 0.746 0.746 0.355

Output
Density of states at the Fermi level ... 3.49 states/eV/f.u.
Total energy ... -24.914 eV for the cell shown
SG ... C2/m
Magnetic moment ... 0.49 μB per formula unit
Density ... 5.28 g/cm3
Calculated formation energy ... -0.6280 eV/atom

Below is a relaxed Ac3Cd4 crystal, with properties calculated at the GGA-PBE level.

Cell: 11.553 11.553 11.553 Å, 160.20 154.28 32.67°
Fractional coordinates of all 7 atoms:
Ac 0.000 0.000 0.000
Ac 0.305 0.805 0.500
Ac 0.695 0.195 0.500
Cd 0.139 0.639 0.500
Cd 0.434 0.434 0.000
Cd 0.566 0.566 0.000
Cd 0.861 0.361 0.500

Output
Density of states at the Fermi level ... 6.49 states/eV/f.u.
Total energy ... -17.978 eV for the cell shown
SG ... Immm
Magnetic moment ... 0.00 μB per formula unit
Density ... 8.29 g/cm3
Calculated formation energy ... -0.2845 eV/atom

Below is a relaxed ZrAg2W crystal, with properties calculated at the GGA-PBE level.

Cell: 2.837 2.837 9.339 Å, 90.00 90.00 103.47°
Fractional coordinates of all 4 atoms:
Zr 0.000 0.000 0.000
Ag 0.000 0.000 0.513
Ag 0.500 0.500 0.265
W 0.500 0.500 0.756

Output
Density of states at the Fermi level ... 3.30 states/eV/f.u.
Total energy ... -26.284 eV for the cell shown
SG ... Cmm2
Magnetic moment ... 0.00 μB per formula unit
Density ... 11.15 g/cm3
Calculated formation energy ... 0.2299 eV/atom

Below is a relaxed NaLi crystal, with properties calculated at the GGA-PBE level.

Cell: 6.054 6.603 11.362 Å, 90.00 90.00 90.00°
Fractional coordinates of all 16 atoms:
Na 0.032 0.236 0.240
Na 0.226 0.380 0.520
Na 0.274 0.620 0.020
Na 0.468 0.764 0.740
Na 0.532 0.264 0.760
Na 0.726 0.120 0.480
Na 0.774 0.880 0.980
Na 0.968 0.736 0.260
Li 0.007 0.000 0.722
Li 0.235 0.135 0.977
Li 0.265 0.865 0.477
Li 0.493 0.000 0.222
Li 0.507 0.500 0.278
Li 0.735 0.365 0.023
Li 0.765 0.635 0.523
Li 0.993 0.500 0.778

Output
Density of states at the Fermi level ... 1.01 states/eV/f.u.
Total energy ... -24.751 eV for the cell shown
SG ... P2_12_12_1
Magnetic moment ... 0.00 μB per formula unit
Density ... 0.88 g/cm3
Calculated formation energy ... 0.0695 eV/atom

Below is a relaxed KSbAs2 crystal, with properties calculated at the GGA-PBE level.

Cell: 3.745 4.231 6.956 Å, 90.00 90.00 90.00°
Fractional coordinates of all 4 atoms:
K 0.000 0.000 0.000
Sb 0.500 0.500 0.658
As 0.000 0.000 0.483
As 0.500 0.500 0.293

Output
Density of states at the Fermi level ... 2.36 states/eV/f.u.
Total energy ... -14.323 eV for the cell shown
SG ... Pmm2
Formation energy from raw total energies ... 0.2 eV per formula unit
Magnetic moment ... 0.00 μB per formula unit
Density ... 4.68 g/cm3

Below is a relaxed Sr3MgPa2N6 crystal, with properties calculated at the GGA-PBE level.

Cell: 7.970 7.970 7.250 Å, 105.59 105.59 26.30°
Fractional coordinates of all 12 atoms:
Sr 0.000 0.000 0.000
Sr 0.341 0.341 0.664
Sr 0.659 0.659 0.336
Mg 0.000 0.000 0.500
Pa 0.338 0.338 0.181
Pa 0.662 0.662 0.819
N 0.163 0.163 0.613
N 0.180 0.180 0.049
N 0.484 0.484 0.255
N 0.516 0.516 0.745
N 0.820 0.820 0.951
N 0.837 0.837 0.387

Output
Total energy ... -90.083 eV for the cell shown
SG ... C2/m
Formation energy from raw total energies ... -14.5 eV per formula unit
Magnetic moment ... 0.00 μB per formula unit
Density ... 7.06 g/cm3

Below is a relaxed Cs3TeF crystal, with properties calculated at the GGA-PBE level.

Cell: 10.828 10.828 8.402 Å, 90.00 90.00 117.19°
Fractional coordinates of all 10 atoms:
Cs 0.000 0.000 0.000
Cs 0.000 0.000 0.500
Cs 0.092 0.537 0.750
Cs 0.463 0.908 0.750
Cs 0.537 0.092 0.250
Cs 0.908 0.463 0.250
Te 0.161 0.839 0.250
Te 0.839 0.161 0.750
F 0.360 0.640 0.750
F 0.640 0.360 0.250

Output
Density of states at the Fermi level ... 0.00 states/eV/f.u.
Total energy ... -28.483 eV for the cell shown
SG ... Cmcm
Formation energy from raw total energies ... -6.7 eV per formula unit
Magnetic moment ... 0.00 μB per formula unit
Density ... 2.07 g/cm3

Below is a relaxed TlCd3Ga2 crystal, with properties calculated at the GGA-PBE level.

Cell: 8.670 8.670 4.557 Å, 104.76 104.76 61.78°
Fractional coordinates of all 12 atoms:
Tl 0.134 0.134 0.132
Tl 0.866 0.866 0.868
Cd 0.115 0.533 0.324
Cd 0.337 0.663 0.000
Cd 0.467 0.885 0.676
Cd 0.533 0.115 0.324
Cd 0.663 0.337 0.000
Cd 0.885 0.467 0.676
Ga 0.146 0.854 0.500
Ga 0.312 0.312 0.813
Ga 0.688 0.688 0.187
Ga 0.854 0.146 0.500

Output
Density of states at the Fermi level ... 2.20 states/eV/f.u.
Total energy ... -21.596 eV for the cell shown
SG ... C2/m
Magnetic moment ... 0.00 μB per formula unit
Density ... 7.85 g/cm3
Calculated formation energy ... 0.0612 eV/atom